CsTa2AlB after structural relaxation. Source: Alexandria via LeMat-Bulk, functional PBE.

abc: 5.130 5.386 5.130
angles: 90.00 90.00 90.00
Fractional coordinates of all 5 atoms:
1 Cs 0.000 0.000 0.000
2 B 0.500 0.500 0.500
3 Al 0.000 0.500 0.000
4 Ta 0.000 0.000 0.500
5 Ta 0.500 0.000 0.000

Calculated values
Electronic total energy (eV per atom): -3.111
N(E_F) (states/eV/atom): 1.40
ρ (g/cm³): 6.24
Formation energy (eV per atom): 3.885